Sc2HgPb2 after structural relaxation. Source: Alexandria via LeMat-Bulk, functional PBE.

Properties
**Relative energy among the computed polymorphs**: 0.000 eV/atom

Cell: 8.4312 8.4312 3.6328 Å, 90.00 90.00 90.00°
Closest atoms and distances in Å follow each position.
Element x y z (fractional)
1 Pb 0.1674 0.6674 0.5000  6 Sc 2.96-3.15
2 Sc 0.1365 0.3635 0.0000  6 Pb 2.96-3.15, 1 Sc 3.26, 2 Hg 3.27
3 Sc 0.8635 0.6365 0.0000  6 Pb 2.96-3.15, 1 Sc 3.26, 2 Hg 3.27
4 Pb 0.8326 0.3326 0.5000  6 Sc 2.96-3.15
5 Hg 0.5000 0.5000 0.0000  4 Sc 3.27, 8 Pb 3.63, 2 Hg 3.63
6 Sc 0.6365 0.1365 0.0000  6 Pb 2.96-3.15, 1 Sc 3.26, 2 Hg 3.27
7 Pb 0.6674 0.8326 0.5000  6 Sc 2.96-3.15
8 Hg 0.0000 0.0000 0.0000  4 Sc 3.27, 8 Pb 3.63, 2 Hg 3.63
9 Sc 0.3635 0.8635 0.0000  6 Pb 2.96-3.15, 1 Sc 3.26, 2 Hg 3.27
10 Pb 0.3326 0.1674 0.5000  6 Sc 2.96-3.15

ScHg2Pb after structural relaxation. Source: Alexandria via LeMat-Bulk, functional PBE.

Properties
**DFT total energy**: -11.2 eV for the cell shown

Cell: 3.5678 3.5678 9.6317 Å, 79.33 79.33 60.00°
Closest atoms and distances in Å follow each position.
Element x y z (fractional)
1 Pb 0.4999 0.4999 0.5004  6 Hg 3.29-3.30, 6 Pb 3.57
2 Hg 0.0756 0.0756 0.7733  3 Sc 2.96, 3 Pb 3.29
3 Sc 0.6668 0.6668 0.9997  6 Hg 2.96-2.97
4 Hg 0.2578 0.2578 0.2266  3 Sc 2.97, 3 Pb 3.30